1.
## AgPt2Br (GGA-PBE)

Data for AgPt2Br after structural relaxation.

Output
energy relative to the elements, uncorrected: 2.24 eV per formula unit

Geometry as POSCAR:
```
AgPt2Br
1.0
-1.941 2.354 3.159
-2.426 -3.117 0.832
2.688 -1.377 2.678
Pt Br Ag
2 1 1
Direct
0.000 0.500 0.500
0.000 0.000 0.000
0.500 0.000 0.500
0.500 0.500 0.000
```

2.
## Er2URu4 (GGA-PBE)

Data for Er2URu4 after structural relaxation.

Output
DFT formation energy: -11.8 kJ per mole of atoms

Geometry as POSCAR:
```
Er2URu4
1.0
-2.372 -3.792 -0.361
2.377 -1.141 -3.631
4.454 -0.693 5.905
Ru Er U
4 2 1
Direct
0.106 0.606 0.212
0.606 0.106 0.212
0.394 0.894 0.788
0.894 0.394 0.788
0.739 0.739 0.477
0.261 0.261 0.523
0.000 0.000 0.000
```

3.
## TcHgP (GGA-PBE)

Data for TcHgP after structural relaxation.

Output
DFT formation energy: 11.5 kJ per mole of atoms

Geometry as POSCAR:
```
TcHgP
1.0
1.850 0.150 -3.428
-2.545 2.791 0.965
3.023 2.160 1.726
Tc Hg P
1 1 1
Direct
0.333 0.667 0.461
0.000 0.000 0.992
0.667 0.333 0.547
```

4.
## La3Dy8 (GGA-PBE)

Data for La3Dy8 after structural relaxation.

Output
DFT formation energy: 50.6 kJ per mole of atoms

Geometry as POSCAR:
```
La3Dy8
1.0
-0.260 5.025 5.044
-0.388 -4.831 5.223
7.071 -0.076 0.870
Dy La
8 3
Direct
0.895 0.304 0.137
0.304 0.137 0.895
0.696 0.863 0.105
0.137 0.895 0.304
0.105 0.696 0.863
0.375 0.375 0.375
0.863 0.105 0.696
0.625 0.625 0.625
0.500 0.500 0.000
0.000 0.500 0.500
0.500 0.000 0.500
```

5.
## CsPH6 (GGA-PBE)

Data for CsPH6 after structural relaxation.

Output
final energy: -0.2440 Ry/atom

Geometry as POSCAR:
```
CsPH6
1.0
-0.769 0.342 -5.219
4.125 -0.215 -3.299
0.724 -4.183 -3.058
H P Cs
6 1 1
Direct
0.336 0.933 0.798
0.933 0.336 0.798
0.067 0.067 0.202
0.067 0.664 0.202
0.933 0.933 0.798
0.664 0.067 0.202
0.000 0.000 0.000
0.500 0.500 0.500
```

6.
## KAs5 (GGA-PBE)

Data for KAs5 after structural relaxation.

Output
DFT formation energy: 12.3 kJ per mole of atoms

Geometry as POSCAR:
```
KAs5
1.0
-2.160 0.754 2.794
-2.030 -2.879 -0.792
6.048 -5.995 6.293
As K
5 1
Direct
0.500 0.500 0.674
0.000 0.000 0.766
0.000 0.000 0.234
0.000 0.000 0.500
0.500 0.500 0.326
0.500 0.500 0.000
```

7.
## Na2H6PdRu (GGA-PBE)

Data for Na2H6PdRu after structural relaxation.

Output
final energy: -0.2817 Ry/atom

Geometry as POSCAR:
```
Na2H6PdRu
1.0
5.029 0.012 0.000
0.012 5.030 0.000
2.521 2.522 3.563
H Ru Na Pd
6 1 2 1
Direct
0.248 0.248 0.504
0.249 0.751 0.000
0.752 0.752 0.496
0.751 0.249 0.000
0.248 0.249 0.000
0.752 0.751 0.000
0.000 0.000 0.000
0.750 0.250 0.500
0.250 0.750 0.500
0.500 0.500 0.000
```

8.
## SnTeIr2Br (GGA-PBE)

Data for SnTeIr2Br after structural relaxation.

Output
energy relative to the elements, uncorrected: 7.02 eV per formula unit

Geometry as POSCAR:
```
SnTeIr2Br
1.0
4.997 0.000 0.000
0.000 5.312 0.000
0.000 0.000 4.997
Ir Te Sn Br
2 1 1 1
Direct
0.000 0.000 0.500
0.500 0.000 0.000
0.500 0.500 0.500
0.000 0.000 0.000
0.000 0.500 0.000
```

9.
## LiAl8Pd2 (GGA-PBE)

Data for LiAl8Pd2 after structural relaxation.

Output
DFT formation energy: -16.0 kJ per mole of atoms

Geometry as POSCAR:
```
LiAl8Pd2
1.0
4.512 0.376 0.286
0.600 6.817 0.394
0.600 2.215 6.459
Al Li Pd
8 1 2
Direct
0.323 0.360 0.360
0.220 0.780 0.358
0.220 0.358 0.780
0.677 0.640 0.640
0.780 0.642 0.220
0.780 0.220 0.642
0.114 0.772 0.772
0.886 0.228 0.228
0.000 0.000 0.000
0.569 0.872 0.872
0.431 0.128 0.128
```

10.
## AlSbOs3 (GGA-PBE)

Data for AlSbOs3 after structural relaxation.

Output
energy relative to the elements, uncorrected: 7.62 eV per formula unit

Geometry as POSCAR:
```
AlSbOs3
1.0
-1.996 1.327 -3.786
-1.007 -4.259 -0.961
-3.883 0.423 2.195
Sb Os Al
1 3 1
Direct
0.500 0.500 0.500
0.000 0.000 0.500
0.500 0.000 0.000
0.000 0.500 0.000
0.000 0.000 0.000
```

11.
## PaVNi4 (GGA-PBE)

Data for PaVNi4 after structural relaxation.

Output
DFT formation energy: -25.0 kJ per mole of atoms

Geometry as POSCAR:
```
PaVNi4
1.0
-1.251 -2.437 -4.058
-4.127 -2.633 -0.100
-3.803 1.511 -2.688
V Ni Pa
1 4 1
Direct
0.250 0.250 0.250
0.624 0.128 0.624
0.624 0.624 0.624
0.128 0.624 0.624
0.624 0.624 0.128
0.000 0.000 0.000
```

12.
## Tl2Hg2Pd5Au (GGA-PBE)

Data for Tl2Hg2Pd5Au after structural relaxation.

Output
DFT formation energy: -3.8 kJ per mole of atoms

Geometry as POSCAR:
```
Tl2Hg2Pd5Au
1.0
3.265 0.000 0.000
0.000 10.941 0.000
0.000 0.000 10.941
Pd Au Hg Tl
10 2 4 4
Direct
0.500 0.295 0.500
0.500 0.205 0.000
0.500 0.000 0.795
0.500 0.000 0.500
0.500 0.000 0.205
0.500 0.500 0.000
0.500 0.705 0.500
0.500 0.500 0.705
0.500 0.500 0.295
0.500 0.795 0.000
0.000 0.500 0.500
0.000 0.000 0.000
0.000 0.347 0.153
0.000 0.653 0.847
0.000 0.153 0.653
0.000 0.847 0.347
0.000 0.659 0.159
0.000 0.341 0.841
0.000 0.841 0.659
0.000 0.159 0.341
```

13.
## Ca3TlP (GGA-PBE)

Data for Ca3TlP after structural relaxation.

Output
DFT formation energy: -60.4 kJ per mole of atoms

Geometry as POSCAR:
```
Ca3TlP
1.0
18.034 0.000 1.018
6.472 2.016 -3.576
-6.472 2.016 3.576
P Ca Tl
2 6 2
Direct
0.571 0.040 0.960
0.429 0.960 0.040
0.125 0.284 0.716
0.360 0.687 0.313
0.640 0.313 0.687
0.658 0.580 0.420
0.875 0.716 0.284
0.342 0.420 0.580
0.092 0.086 0.914
0.908 0.914 0.086
```

14.
## Pr2InSb3Pd4 (GGA-PBE)

Data for Pr2InSb3Pd4 after structural relaxation.

Output
energy relative to the elements, uncorrected: -8.29 eV per formula unit

Geometry as POSCAR:
```
Pr2InSb3Pd4
1.0
4.489 0.000 0.000
0.000 4.489 0.000
0.000 0.000 11.268
Pd Sb Pr In
4 3 2 1
Direct
0.500 0.000 0.637
0.000 0.000 0.000
0.500 0.500 0.000
0.000 0.500 0.363
0.000 0.000 0.500
0.000 0.500 0.133
0.500 0.000 0.867
0.000 0.500 0.765
0.500 0.000 0.235
0.500 0.500 0.500
```

15.
## MgHS2 (GGA-PBE)

Data for MgHS2 after structural relaxation.

Output
final energy: -0.2484 Ry/atom

Geometry as POSCAR:
```
MgHS2
1.0
5.653 0.000 0.000
0.000 5.653 0.000
2.826 2.826 3.820
S H Mg
4 2 2
Direct
0.375 0.453 0.750
0.547 0.125 0.250
0.875 0.797 0.750
0.203 0.625 0.250
0.250 0.750 0.500
0.500 0.500 0.000
0.000 0.000 0.000
0.750 0.250 0.500
```

16.
## MnCu23Au6 (GGA-PBE)

Data for MnCu23Au6 after structural relaxation.

Output
DFT formation energy: 4.7 kJ per mole of atoms

Geometry as POSCAR:
```
MnCu23Au6
1.0
7.203 0.000 4.159
2.401 6.791 4.159
0.000 0.000 8.318
Cu Au Mn
23 6 1
Direct
0.340 0.340 0.340
0.500 0.000 0.000
0.876 0.373 0.876
0.500 0.000 0.500
0.627 0.124 0.124
0.000 0.000 0.500
0.660 0.660 0.020
0.660 0.660 0.660
0.124 0.124 0.627
0.000 0.500 0.500
0.373 0.876 0.876
0.000 0.500 0.000
0.500 0.500 0.000
0.340 0.340 0.980
0.000 0.000 0.000
0.876 0.876 0.373
0.980 0.340 0.340
0.020 0.660 0.660
0.124 0.627 0.124
0.340 0.980 0.340
0.660 0.020 0.660
0.124 0.124 0.124
0.876 0.876 0.876
0.269 0.731 0.269
0.731 0.731 0.269
0.731 0.269 0.731
0.731 0.269 0.269
0.269 0.269 0.731
0.269 0.731 0.731
0.500 0.500 0.500
```

17.
## TbCuBiAu (GGA-PBE)

Data for TbCuBiAu after structural relaxation.

Output
DFT formation energy: -34.4 kJ per mole of atoms

Geometry as POSCAR:
```
TbCuBiAu
1.0
5.014 0.000 0.000
2.507 4.342 0.000
2.507 1.447 4.094
Cu Bi Tb Au
1 1 1 1
Direct
0.250 0.250 0.250
0.500 0.500 0.500
0.000 0.000 0.000
0.750 0.750 0.750
```

18.
## Al2GaBiO6 (GGA-PBE)

Data for Al2GaBiO6 after structural relaxation.

Output
energy relative to the elements, uncorrected: -22.21 eV per formula unit

Geometry as POSCAR:
```
Al2GaBiO6
1.0
-2.719 -0.881 -5.386
1.259 -6.617 -1.726
-6.829 -0.158 1.300
Al O Bi Ga
4 12 2 2
Direct
0.169 0.445 0.297
0.669 0.297 0.445
0.831 0.555 0.703
0.331 0.703 0.555
0.561 0.167 0.634
0.688 0.789 0.946
0.812 0.054 0.211
0.939 0.366 0.833
0.459 0.429 0.333
0.041 0.667 0.571
0.061 0.634 0.167
0.188 0.946 0.789
0.312 0.211 0.054
0.959 0.333 0.429
0.439 0.833 0.366
0.541 0.571 0.667
0.250 0.895 0.105
0.750 0.105 0.895
0.750 0.797 0.203
0.250 0.203 0.797
```

19.
## ScCd2Ru (GGA-PBE)

Data for ScCd2Ru after structural relaxation.

Output
DFT formation energy: -9.0 kJ per mole of atoms

Geometry as POSCAR:
```
ScCd2Ru
1.0
-2.278 4.311 1.486
-4.544 -1.223 1.960
4.656 -1.821 0.992
Ru Sc Cd
1 1 2
Direct
0.500 0.500 0.000
0.750 0.250 0.500
0.000 0.000 0.000
0.250 0.750 0.500
```

20.
## TbOs4 (GGA-PBE)

Data for TbOs4 after structural relaxation.

Output
DFT formation energy: 333.6 kJ per mole of atoms

Geometry as POSCAR:
```
TbOs4
1.0
-0.387 -3.632 3.005
1.504 -2.952 -3.376
4.468 0.679 1.396
Os Tb
4 1
Direct
0.000 0.500 0.500
0.000 0.000 0.000
0.500 0.000 0.500
0.500 0.500 0.000
0.500 0.500 0.500
```